# 1
Computed, not measured: a geometry-optimized NaCoPPt structure at the PBE level of DFT.

Results
The calculation puts the calculated formation energy at -0.3295 eV/atom.

Cell: 3.6555 3.6555 10.7526 Å, 90.00 90.00 90.00°
Space group P4/nmm (No. 129, origin choice 2)
Unique sites:
Na: 0.2500 0.2500 0.2281 x2
Co: 0.2500 0.7500 0.5000 x2
P: 0.2500 0.2500 0.6141 x2
Pt: 0.2500 0.7500 0.0000 x2

# 2
Computed, not measured: a geometry-optimized LiHfIn2 structure at the PBE level of DFT.

Results
The calculation puts the calculated formation energy at 0.1486 eV/atom.

Cell: 7.5023 7.5023 6.1473 Å, 90.00 90.00 90.00°
Space group I-42d (No. 122)
Unique sites:
Li: 0.0000 0.0000 0.0000 x4
Hf: 0.0000 0.0000 0.5000 x4
In: 0.2131 0.7500 0.1250 x8

# 3
Computed, not measured: a geometry-optimized Sm6InHg3 structure at the PBE level of DFT.

Results
The calculation puts the calculated formation energy at -0.3525 eV/atom.

Cell: 9.5963 5.2991 11.7471 Å, 90.00 105.75 90.00°
Space group P2_1/m (No. 11)
Unique sites:
Sm: 0.0290 0.2500 0.4038 x2
Sm: 0.1504 0.7500 0.1813 x2
Sm: 0.2484 0.2500 0.0000 x2
Sm: 0.3399 0.7500 0.8192 x2
Sm: 0.3772 0.2500 0.3389 x2
Sm: 0.3862 0.2500 0.6151 x2
In: 0.4505 0.7500 0.1119 x2
Hg: 0.0259 0.7500 0.8801 x2
Hg: 0.1229 0.2500 0.7177 x2
Hg: 0.2751 0.7500 0.4693 x2

# 4
Computed, not measured: a geometry-optimized Tb5Nd4Al structure at the PBE level of DFT.

Results
The value obtained for the excess energy over the best structure of this formula in the dataset is 0 meV per atom. The calculation puts the calculated formation energy at -0.0624 eV/atom.

Cell: 3.6103 3.6103 24.3339 Å, 90.00 90.00 90.00°
Space group P4/mmm (No. 123)
Unique sites:
Tb: 0.0000 0.0000 0.0000 x1
Tb: 0.0000 0.0000 0.2115 x2
Tb: 0.0000 0.0000 0.4244 x2
Nd: 0.5000 0.5000 0.1054 x2
Nd: 0.5000 0.5000 0.3170 x2
Al: 0.5000 0.5000 0.5000 x1

# 5
Computed, not measured: a geometry-optimized Ba4Na2Zn structure at the PBE level of DFT.

Results
The calculation puts the calculated formation energy at 0.0601 eV/atom.

Cell: 6.3509 6.3509 19.9885 Å, 90.00 90.00 90.00°
Space group I4/mmm (No. 139)
Unique sites:
Ba: 0.0000 0.0000 0.1710 x4
Ba: 0.0000 0.5000 0.0000 x4
Na: 0.0000 0.0000 0.3701 x4
Zn: 0.0000 0.0000 0.0000 x2

# 6
Computed, not measured: a geometry-optimized Pa4BeGe8 structure at the PBE level of DFT.

Results
The calculation puts the calculated formation energy at -0.3854 eV/atom.

Cell: 4.0454 4.0886 15.8589 Å, 90.00 90.00 90.00°
Space group Pmm2 (No. 25)
Unique sites:
Pa: 0.0000 0.0000 0.0000 x1
Pa: 0.0000 0.5000 0.4943 x1
Pa: 0.5000 0.0000 0.7883 x1
Pa: 0.5000 0.5000 0.2868 x1
Be: 0.0000 0.5000 0.7102 x1
Ge: 0.0000 0.0000 0.3333 x1
Ge: 0.0000 0.0000 0.6363 x1
Ge: 0.0000 0.5000 0.1444 x1
Ge: 0.0000 0.5000 0.8509 x1
Ge: 0.5000 0.0000 0.1435 x1
Ge: 0.5000 0.0000 0.4461 x1
Ge: 0.5000 0.5000 0.6367 x1
Ge: 0.5000 0.5000 0.9606 x1

# 7
Computed, not measured: a geometry-optimized TiAs2RhSe structure at the PBE level of DFT.

Results
The value obtained for the excess energy over the best structure of this formula in the dataset is 19 meV per atom.

Cell: 4.6802 4.6802 5.0364 Å, 90.00 90.00 90.00°
Space group P4/mmm (No. 123)
Unique sites:
Ti: 0.0000 0.0000 0.0000 x1
As: 0.0000 0.5000 0.5000 x2
Rh: 0.5000 0.5000 0.5000 x1
Se: 0.5000 0.5000 0.0000 x1

# 8
Computed, not measured: a geometry-optimized KBr2O4 structure at the PBE level of DFT.

Results
The value obtained for the excess energy over the best structure of this formula in the dataset is 0 meV per atom.

Cell: 6.6696 6.5134 7.6059 Å, 90.00 93.80 90.00°
Space group C2/m (No. 12)
Unique sites:
K: 0.0000 0.0000 0.0000 x2
Br: 0.0241 0.5000 0.7249 x4
O: 0.1666 0.2882 0.7802 x8

# 9
Computed, not measured: a geometry-optimized HgBMo2 structure at the PBE level of DFT.

Results
The value obtained for the excess energy over the best structure of this formula in the dataset is 137 meV per atom. The calculation puts the calculated formation energy at 1.1574 eV/atom.

Cell: 4.7816 4.7816 13.4211 Å, 90.00 90.00 90.00°
Space group I-42d (No. 122)
Unique sites:
Hg: 0.0000 0.0000 0.0000 x4
B: 0.0000 0.0000 0.5000 x4
Mo: 0.1173 0.2500 0.6250 x8

# 10
Computed, not measured: a geometry-optimized AcTb7 structure at the PBE level of DFT.

Results
The calculation puts the calculated formation energy at 0.0267 eV/atom.

Cell: 10.1920 10.1920 10.1920 Å, 90.00 90.00 90.00°
Space group Fm-3m (No. 225)
Unique sites:
Ac: 0.0000 0.0000 0.0000 x4
Tb: 0.0000 0.0000 0.5000 x4
Tb: 0.0000 0.2500 0.2500 x24

# 11
Computed, not measured: a geometry-optimized Rb3Ag2Br2F3 structure at the PBE level of DFT.

Results
The uncorrected energy comes out at -3.340 eV/atom.

Cell: 5.1735 5.1735 23.4093 Å, 90.00 90.00 90.00°
Space group I4/mmm (No. 139)
Unique sites:
Rb: 0.0000 0.0000 0.0000 x2
Rb: 0.0000 0.0000 0.3827 x4
Ag: 0.0000 0.0000 0.2059 x4
Br: 0.0000 0.5000 0.2500 x4
F: 0.0000 0.0000 0.1092 x4
F: 0.0000 0.0000 0.5000 x2

# 12
Computed, not measured: a geometry-optimized Ba4SrEu structure at the PBE level of DFT.

Results
The calculation puts the calculated formation energy at 0.1636 eV/atom.

Cell: 11.4246 11.4246 11.4246 Å, 90.00 90.00 90.00°
Space group F-43m (No. 216)
Unique sites:
Ba: 0.1251 0.1251 0.1251 x16
Sr: 0.2500 0.2500 0.7500 x4
Eu: 0.0000 0.0000 0.5000 x4

# 13
Computed, not measured: a geometry-optimized La3Nd4Tl2 structure at the PBE level of DFT.

Results
The calculation puts the calculated formation energy at -0.0991 eV/atom.

Cell: 13.5309 13.8871 6.6136 Å, 90.00 96.01 90.00°
Space group C2/c (No. 15)
Unique sites:
La: 0.0000 0.0307 0.2500 x4
La: 0.1100 0.4343 0.5894 x8
Nd: 0.1062 0.2844 0.0765 x8
Nd: 0.1539 0.1716 0.5804 x8
Tl: 0.2063 0.0726 0.0417 x8

# 14
Computed, not measured: a geometry-optimized ScAlSb2Br structure at the PBE level of DFT.

Results
The uncorrected energy comes out at -3.988 eV/atom.

Cell: 5.5716 5.5716 5.1968 Å, 90.00 90.00 90.00°
Space group P4/mmm (No. 123)
Unique sites:
Sc: 0.0000 0.0000 0.0000 x1
Al: 0.5000 0.5000 0.5000 x1
Sb: 0.0000 0.5000 0.0000 x2
Br: 0.0000 0.0000 0.5000 x1

# 15
Computed, not measured: a geometry-optimized La6PtAu2N structure at the PBE level of DFT.

Results
The uncorrected energy comes out at -5.884 eV/atom.

Cell: 6.9061 7.7369 12.5573 Å, 90.00 121.86 90.00°
Space group P2_1/c (No. 14)
Unique sites:
La: 0.1030 0.2114 0.4413 x4
La: 0.2490 0.6699 0.4395 x4
La: 0.3624 0.0346 0.2315 x4
Pt: 0.5000 0.0000 0.5000 x2
Au: 0.1794 0.0979 0.7354 x4
N: 0.0000 0.0000 0.0000 x2

# 16
Computed, not measured: a geometry-optimized DyTm3Zr2N6 structure at the PBE level of DFT.

Results
The uncorrected energy comes out at -8.872 eV/atom.

Cell: 14.6271 3.3535 6.7275 Å, 90.00 103.35 90.00°
Space group C2/m (No. 12)
Unique sites:
Dy: 0.0000 0.0000 0.0000 x2
Tm: 0.0000 0.0000 0.5000 x2
Tm: 0.1669 0.5000 0.8329 x4
Zr: 0.1672 0.5000 0.3347 x4
N: 0.0049 0.5000 0.2567 x4
N: 0.1690 0.0000 0.0940 x4
N: 0.1696 0.0000 0.5778 x4

# 17
Computed, not measured: a geometry-optimized Sm2Ga3Sn structure at the PBE level of DFT.

Results
The calculation puts the calculated formation energy at -0.6286 eV/atom.

Cell: 4.2355 4.3509 7.5925 Å, 90.00 90.00 90.00°
Space group Pmm2 (No. 25)
Unique sites:
Sm: 0.0000 0.0000 0.0000 x1
Sm: 0.0000 0.5000 0.4835 x1
Ga: 0.5000 0.0000 0.3187 x1
Ga: 0.5000 0.0000 0.6386 x1
Ga: 0.5000 0.5000 0.1722 x1
Sn: 0.5000 0.5000 0.8272 x1

# 18
Computed, not measured: a geometry-optimized Mn3NbSn structure at the PBE level of DFT.

Results
The value obtained for the excess energy over the best structure of this formula in the dataset is 0 meV per atom. The calculation puts the calculated formation energy at 1.1410 eV/atom.

Cell: 4.7162 4.7162 4.7162 Å, 90.00 90.00 90.00°
Space group Pm-3m (No. 221)
Unique sites:
Mn: 0.0000 0.0000 0.5000 x3
Nb: 0.0000 0.0000 0.0000 x1
Sn: 0.5000 0.5000 0.5000 x1

# 19
Computed, not measured: a geometry-optimized TcTe2I8 structure at the PBE level of DFT.

Results
The uncorrected energy comes out at -2.699 eV/atom.

Cell: 7.8405 7.8934 9.1476 Å, 91.87 110.35 96.45°
Space group P-1 (No. 2)
Unique sites:
Tc: 0.0000 0.0000 0.0000 x1
Te: 0.0091 0.7160 0.1733 x2
I: 0.2463 0.8258 0.9376 x2
I: 0.2557 0.2778 0.6922 x2
I: 0.2752 0.2335 0.1926 x2
I: 0.3186 0.7740 0.4443 x2

# 20
Computed, not measured: a geometry-optimized SrMoSe2 structure at the PBE level of DFT.

Results
The value obtained for the excess energy over the best structure of this formula in the dataset is 573 meV per atom.

Cell: 4.0822 4.0822 12.6578 Å, 90.00 90.00 90.00°
Space group I-4m2 (No. 119)
Unique sites:
Sr: 0.0000 0.0000 0.0000 x2
Mo: 0.0000 0.5000 0.7500 x2
Se: 0.0000 0.0000 0.5000 x2
Se: 0.0000 0.5000 0.2500 x2

Total moment readings, ordered: 0.00 0.00 0.00 0.00 1.01 0.00 0.00 2.05 0.00 0.00 0.00 30.97 0.00 0.00 0.00 0.00 0.00 8.33 2.98 7.97 μB per cell